1.
This record from the Open Quantum Materials Database describes a relaxed structure of HgGeW. The functional is PBE-GGA.

```
HgGeW
1.0
-1.3162 -3.7083 -1.8957
0.1046 -3.7516 2.2343
-3.7275 -1.8947 1.2624
Ge Hg W
1 1 1
direct
0.0000 0.0000 0.0000
0.2500 0.2500 0.2500
0.7500 0.7500 0.7500
```

Results
SG: F-43m, No. 216
Electronic total energy in eV per atom: -4.902
Crystal system: cubic
V in A^3/atom: 19.640

2.
This record from the Open Quantum Materials Database describes a relaxed structure of HgGeW2. The functional is PBE-GGA.

```
HgGeW2
1.0
-4.5278 -0.1811 0.9054
-3.0582 0.2251 -3.4568
-2.4425 -3.7437 -1.1714
Ge Hg W
1 1 2
direct
0.5000 0.5000 0.5000
0.2500 0.2500 0.2500
0.0000 0.0000 0.0000
0.7500 0.7500 0.7500
```

Results
SG: F-43m, No. 216
Electronic total energy in eV per atom: -6.780
Crystal system: cubic
V in A^3/atom: 17.443

3.
This record from the Open Quantum Materials Database describes a relaxed structure of YHgGe. The functional is PBE-GGA.

```
YHgGe
1.0
2.3802 2.5749 3.3935
-1.2910 -0.3659 4.6916
2.9370 -2.2677 3.1691
Ge Hg Y
1 1 1
direct
0.2500 0.2500 0.2500
0.7500 0.7500 0.7500
0.0000 0.0000 0.0000
```

Results
SG: F-43m, No. 216
Electronic total energy in eV per atom: -4.002
Crystal system: cubic
V in A^3/atom: 27.387

4.
This record from the Open Quantum Materials Database describes a relaxed structure of YHg2Ge. The functional is PBE-GGA.

```
YHg2Ge
1.0
0.0000 3.6029 3.6029
3.6029 0.0000 3.6029
3.6029 3.6029 0.0000
Ge Hg Y
1 2 1
direct
0.5000 0.5000 0.5000
0.0000 0.0000 0.0000
0.7500 0.7500 0.7500
0.2500 0.2500 0.2500
```

Results
SG: F-43m, No. 216
Electronic total energy in eV per atom: -3.138
Crystal system: cubic
V in A^3/atom: 23.385